# 1
Compound: La2Nd2Pd15
Source: Alexandria via LeMat-Bulk
Functional: PBE-GGA
Structure: optimized geometry

Output
Calculated formation energy, meV/atom: -565
Space group: No. 166
Raw total energy, eV per formula unit: -108.026

a b c (Å): 7.196 7.196 7.196
angles (deg): 81.04 81.04 81.04
Positions (direct):
1 La 0.362 0.362 0.362
2 La 0.638 0.638 0.638
3 Nd 0.109 0.109 0.109
4 Nd 0.891 0.891 0.891
5 Pd 0.500 0.000 0.000
6 Pd 0.000 0.000 0.500
7 Pd 0.000 0.500 0.000
8 Pd 0.000 0.689 0.311
9 Pd 0.689 0.311 0.000
10 Pd 0.311 0.000 0.689
11 Pd 0.311 0.689 0.000
12 Pd 0.689 0.000 0.311
13 Pd 0.000 0.311 0.689
14 Pd 0.162 0.650 0.650
15 Pd 0.650 0.650 0.162
16 Pd 0.650 0.162 0.650
17 Pd 0.838 0.350 0.350
18 Pd 0.350 0.350 0.838
19 Pd 0.350 0.838 0.350

# 2
Compound: La3Nd3Pd4
Source: Alexandria via LeMat-Bulk
Functional: PBE-GGA
Structure: optimized geometry

Output
Calculated formation energy, meV/atom: -648
Space group: No. 38
Raw total energy, eV per formula unit: -56.333

a b c (Å): 4.064 8.145 8.145
angles (deg): 90.23 90.00 90.00
Positions (direct):
1 La 0.500 0.833 0.167
2 La 0.500 0.331 0.332
3 La 0.500 0.668 0.669
4 Nd 0.000 0.497 0.999
5 Nd 0.000 0.001 0.503
6 Nd 0.500 0.168 0.832
7 Pd 0.000 0.628 0.372
8 Pd 0.000 0.372 0.628
9 Pd 0.000 0.873 0.873
10 Pd 0.000 0.127 0.127